Entry w
DFT (GGA-PBE) results for LiAs2SeF after structural relaxation.

Cell and atoms, written as POSCAR:
```
LiAs2SeF
1.0
4.352 0.000 0.000
0.000 4.352 0.000
0.000 0.000 5.320
Se Li As F
1 1 2 1
Direct
0.000 0.000 0.500 Se
0.500 0.500 0.500 Li
0.000 0.500 0.000 As
0.500 0.000 0.000 As
0.000 0.000 0.000 F
```

Results
Volume in Å³/atom: 20.15

=====

Entry x
DFT (GGA-PBE) results for LiAs2SeF after structural relaxation.

Cell and atoms, written as POSCAR:
```
LiAs2SeF
1.0
-3.235 2.268 2.221
-3.173 -2.230 -2.345
-0.079 -3.164 3.116
As Li F Se
2 1 1 1
Direct
0.500 0.000 0.000 As
0.000 0.500 0.000 As
0.000 0.000 0.000 Li
0.500 0.500 0.500 F
0.000 0.000 0.500 Se
```

Results
Volume in Å³/atom: 18.25

=====

Which one sits at the bottom of the stability order? entry x does.

=====

Entry w
DFT (GGA-PBE) results for SrLi2AsF after structural relaxation.

Cell and atoms, written as POSCAR:
```
SrLi2AsF
1.0
-2.867 1.940 2.700
-2.217 -3.773 0.357
2.771 -1.264 3.850
Li F Sr As
2 1 1 1
Direct
0.500 0.000 0.000 Li
0.000 0.500 0.000 Li
0.000 0.000 0.000 F
0.000 0.000 0.500 Sr
0.500 0.500 0.500 As
```

Results
Volume in Å³/atom: 18.93

=====

Entry x
DFT (GGA-PBE) results for SrLi2AsF after structural relaxation.

Cell and atoms, written as POSCAR:
```
SrLi2AsF
1.0
6.892 0.000 0.000
0.000 5.376 0.000
0.000 0.000 6.892
As Li Sr F
1 2 1 1
Direct
0.000 0.500 0.000 As
0.500 0.000 0.000 Li
0.000 0.000 0.500 Li
0.000 0.000 0.000 Sr
0.500 0.500 0.500 F
```

Results
Volume in Å³/atom: 51.07

=====

Which one sits at the bottom of the stability order? entry x does.

=====

Entry w
DFT (GGA-PBE) results for LiTlAsF after structural relaxation.

Cell and atoms, written as POSCAR:
```
LiTlAsF
1.0
4.283 0.000 -0.006
0.000 3.553 0.000
-1.934 0.000 6.421
Tl F As Li
1 1 1 1
Direct
0.440 0.500 0.225 Tl
0.256 0.500 0.839 F
0.983 0.000 0.318 As
0.200 0.000 0.744 Li
```

Results
Volume in Å³/atom: 24.42

=====

Entry x
DFT (GGA-PBE) results for LiTlAsF after structural relaxation.

Cell and atoms, written as POSCAR:
```
LiTlAsF
1.0
-0.554 2.803 -0.940
-2.678 -1.360 -0.163
-0.007 2.319 9.191
F Li As Tl
1 1 1 1
Direct
0.294 0.297 0.791 F
0.681 0.891 0.772 Li
0.719 0.516 0.417 As
0.184 0.783 0.146 Tl
```

Results
Volume in Å³/atom: 20.39

=====

Entry y
DFT (GGA-PBE) results for LiTlAsF after structural relaxation.

Cell and atoms, written as POSCAR:
```
LiTlAsF
1.0
4.036 -0.028 -0.003
-1.991 4.080 0.014
0.000 -0.828 6.305
Tl F Li As
1 1 1 1
Direct
0.609 0.148 0.791 Tl
0.670 0.272 0.178 F
0.199 0.330 0.237 Li
0.283 0.497 0.668 As
```

Results
Volume in Å³/atom: 25.88

=====

Which one sits at the bottom of the stability order? entry y does.

=====

Entry w
DFT (GGA-PBE) results for Mg2AsF after structural relaxation.

Cell and atoms, written as POSCAR:
```
Mg2AsF
1.0
-3.426 -0.526 3.909
-3.424 -2.175 -3.293
-1.218 -6.668 1.527
F Mg As
2 4 2
Direct
0.250 0.750 0.500 F
0.500 0.500 0.000 F
0.375 0.433 0.750 Mg
0.567 0.125 0.250 Mg
0.183 0.625 0.250 Mg
0.875 0.817 0.750 Mg
0.750 0.250 0.500 As
0.000 0.000 0.000 As
```

Results
Volume in Å³/atom: 20.08

=====

Entry x
DFT (GGA-PBE) results for Mg2AsF after structural relaxation.

Cell and atoms, written as POSCAR:
```
Mg2AsF
1.0
-2.581 0.284 3.683
-4.438 0.666 -0.404
-2.877 -3.322 0.997
F Mg As
1 2 1
Direct
0.000 0.000 0.000 F
0.250 0.250 0.250 Mg
0.750 0.750 0.750 Mg
0.500 0.500 0.500 As
```

Results
Volume in Å³/atom: 16.18

=====

Which one sits at the bottom of the stability order? entry x does.

=====

Entry w
DFT (GGA-PBE) results for MgAsF3 after structural relaxation.

Cell and atoms, written as POSCAR:
```
MgAsF3
1.0
-2.080 0.540 3.404
0.668 -3.838 1.017
3.382 1.090 1.893
F As Mg
3 1 1
Direct
0.000 0.000 0.500 F
0.000 0.500 0.000 F
0.500 0.000 0.000 F
0.500 0.500 0.500 As
0.000 0.000 0.000 Mg
```

Results
Volume in Å³/atom: 13.05

=====

Entry x
DFT (GGA-PBE) results for MgAsF3 after structural relaxation.

Cell and atoms, written as POSCAR:
```
MgAsF3
1.0
-1.429 -0.043 -4.151
4.150 -0.121 -1.428
-0.100 -4.388 0.080
F Mg As
3 1 1
Direct
0.500 0.000 0.000 F
0.000 0.500 0.000 F
0.000 0.000 0.500 F
0.500 0.500 0.500 Mg
0.000 0.000 0.000 As
```

Results
Volume in Å³/atom: 16.92

=====

Which one sits at the bottom of the stability order? entry x does.

=====

Entry w
DFT (GGA-PBE) results for Mg3AsF after structural relaxation.

Cell and atoms, written as POSCAR:
```
Mg3AsF
1.0
-2.052 1.048 -3.893
-3.938 -1.454 1.684
-0.862 4.153 1.572
Mg As F
3 1 1
Direct
0.500 0.000 0.000 Mg
0.000 0.500 0.000 Mg
0.000 0.000 0.500 Mg
0.500 0.500 0.500 As
0.000 0.000 0.000 F
```

Results
Volume in Å³/atom: 18.51

=====

Entry x
DFT (GGA-PBE) results for Mg3AsF after structural relaxation.

Cell and atoms, written as POSCAR:
```
Mg3AsF
1.0
-2.298 2.223 3.995
3.936 -1.311 2.994
2.325 4.418 -1.121
Mg As F
3 1 1
Direct
0.000 0.500 0.000 Mg
0.500 0.000 0.000 Mg
0.000 0.000 0.500 Mg
0.000 0.000 0.000 As
0.500 0.500 0.500 F
```

Results
Volume in Å³/atom: 26.79

=====

Which one sits at the bottom of the stability order? entry x does.